# LiCo2O | the Alexandria database | PBE with a Hubbard U | optimized geometry
data_LiCo2O
_cell_length_a 5.281
_cell_length_b 5.281
_cell_length_c 9.998
_cell_angle_alpha 90.00
_cell_angle_beta 90.00
_cell_angle_gamma 90.00
_symmetry_space_group_name_H-M 'I 41/a m d'
_symmetry_Int_Tables_number 141
loop_
_symmetry_equiv_pos_as_xyz
'x,y,z'
'-x,-y,-z'
'-y+1/4,x+3/4,z+1/4'
'y+1/4,-x+3/4,-z+1/4'
'-x+1/2,-y,z+1/2'
'x+1/2,y,-z+1/2'
'y+1/4,-x+1/4,z+3/4'
'-y+1/4,x+1/4,-z+3/4'
'x,-y,-z'
'-x,y,z'
'-y+1/4,-x+1/4,-z+3/4'
'y+1/4,x+1/4,z+3/4'
'-x+1/2,y,-z+1/2'
'x+1/2,-y,z+1/2'
'y+1/4,x+3/4,-z+1/4'
'-y+1/4,-x+3/4,z+1/4'
'x+1/2,y+1/2,z+1/2'
'-x+1/2,-y+1/2,-z+1/2'
'-y+3/4,x+1/4,z+3/4'
'y+3/4,-x+1/4,-z+3/4'
'-x,-y+1/2,z'
'x,y+1/2,-z'
'y+3/4,-x+3/4,z+1/4'
'-y+3/4,x+3/4,-z+1/4'
'x+1/2,-y+1/2,-z+1/2'
'-x+1/2,y+1/2,z+1/2'
'-y+3/4,-x+3/4,-z+1/4'
'y+3/4,x+3/4,z+1/4'
'-x,y+1/2,-z'
'x,-y+1/2,z'
'y+3/4,x+1/4,-z+3/4'
'-y+3/4,-x+1/4,z+3/4'
loop_
_atom_site_label
_atom_site_type_symbol
_atom_site_fract_x
_atom_site_fract_y
_atom_site_fract_z
Li1 Li 0.000 0.250 0.375
Co1 Co 0.000 0.000 0.000
O1 O 0.000 0.250 0.875
# Calculated volume = 17.425 Å³/atom
# Final energy = -4.31 eV per atom
# Magnetization = 12.438 Bohr magnetons per cell
# ρ = 3.35 g cm⁻³
# Excess energy over the best structure of this formula in the dataset = 0.0 meV per atom